Model w:
Li2IrPd2 | Alexandria | GGA-PBE | relaxed; crystal system = tetragonal; total magnetic moment = 0.00 μB/f.u.; DOS(E_F) = 4.05 states/eV/cell
1.0
6.905 0.000 0.000
0.000 6.905 0.000
0.000 0.000 2.749
Li Ir Pd
4 2 4
Direct
0.117 0.383 0.000
0.383 0.883 0.000
0.617 0.117 0.000
0.883 0.617 0.000
0.000 0.000 0.000
0.500 0.500 0.000
0.186 0.686 0.500
0.314 0.186 0.500
0.686 0.814 0.500
0.814 0.314 0.500

=====

Model x:
Li2IrPd2 | Alexandria | GGA-PBE | relaxed; crystal system = tetragonal; total magnetic moment = 0.53 μB/f.u.; DOS(E_F) = 8.88 states/eV/cell
1.0
7.123 0.000 0.000
0.000 7.123 0.000
0.000 0.000 2.718
Li Ir Pd
4 2 4
Direct
0.162 0.338 0.000
0.338 0.838 0.000
0.662 0.162 0.000
0.838 0.662 0.000
0.000 0.000 0.500
0.500 0.500 0.500
0.139 0.639 0.500
0.361 0.139 0.500
0.639 0.861 0.500
0.861 0.361 0.500

=====

Most stable structure - model w; separation to the second - 13.1 kJ/mol of atoms.

=====

Model w:
Li2IrPd | Alexandria | GGA-PBE | relaxed; crystal system = tetragonal; total magnetic moment = 0.60 μB/f.u.; DOS(E_F) = 7.21 states/eV/cell
1.0
-3.310 3.310 2.595
3.310 -3.310 2.595
3.310 3.310 -2.595
Li Ir Pd
4 2 2
Direct
0.119 0.625 0.994
0.375 0.369 0.494
0.631 0.125 0.006
0.875 0.881 0.506
0.250 0.750 0.500
0.500 0.500 0.000
0.000 0.000 0.000
0.750 0.250 0.500

=====

Model x:
Li2IrPd | Alexandria | GGA-PBE | relaxed; crystal system = cubic; total magnetic moment = 0.00 μB/f.u.; DOS(E_F) = 2.65 states/eV/cell
1.0
0.000 2.946 2.946
2.946 0.000 2.946
2.946 2.946 0.000
Li Ir Pd
2 1 1
Direct
0.250 0.250 0.250
0.750 0.750 0.750
0.000 0.000 0.000
0.500 0.500 0.500

=====

Model y:
Li2IrPd | Alexandria | GGA-PBE | relaxed; crystal system = trigonal; total magnetic moment = 0.00 μB/f.u.; DOS(E_F) = 2.89 states/eV/cell
1.0
1.359 0.785 8.594
-1.359 0.785 8.594
0.000 -1.569 8.594
Li Ir Pd
2 1 1
Direct
0.249 0.249 0.249
0.751 0.751 0.751
0.500 0.500 0.500
0.000 0.000 0.000

=====

Most stable structure - model y; separation to the second - 27.2 kJ/mol of atoms.

=====

Model w:
LiIrPd2 | Alexandria | GGA-PBE | relaxed; crystal system = trigonal; total magnetic moment = 0.00 μB/f.u.; DOS(E_F) = 4.97 states/eV/cell
1.0
1.375 0.794 8.908
-1.375 0.794 8.908
0.000 -1.588 8.908
Li Ir Pd
1 1 2
Direct
0.000 0.000 0.000
0.500 0.500 0.500
0.252 0.252 0.252
0.748 0.748 0.748

=====

Model x:
LiIrPd2 | Alexandria | GGA-PBE | relaxed; crystal system = cubic; total magnetic moment = 1.52 μB/f.u.; DOS(E_F) = 5.05 states/eV/cell
1.0
0.000 3.087 3.087
3.087 0.000 3.087
3.087 3.087 0.000
Li Ir Pd
1 1 2
Direct
0.000 0.000 0.000
0.500 0.500 0.500
0.250 0.250 0.250
0.750 0.750 0.750

=====

Most stable structure - model w; separation to the second - 12.2 kJ/mol of atoms.

=====

Model w:
LiIrPd2 | Alexandria | GGA-PBE | relaxed; crystal system = orthorhombic; total magnetic moment = 0.00 μB/f.u.; DOS(E_F) = 4.36 states/eV/cell
1.0
2.760 -3.818 0.000
2.760 3.818 0.000
0.000 0.000 2.721
Li Ir Pd
1 1 2
Direct
0.000 0.000 0.000
0.500 0.500 0.000
0.000 0.500 0.500
0.500 0.000 0.500

=====

Model x:
LiIrPd2 | Alexandria | GGA-PBE | relaxed; crystal system = tetragonal; total magnetic moment = 0.00 μB/f.u.; DOS(E_F) = 6.60 states/eV/cell
1.0
-1.882 1.882 8.828
1.882 -1.882 8.828
1.882 1.882 -8.828
Li Ir Pd
2 2 4
Direct
0.000 0.000 0.000
0.750 0.250 0.500
0.250 0.750 0.500
0.500 0.500 0.000
0.124 0.625 0.999
0.375 0.374 0.499
0.626 0.125 0.001
0.875 0.876 0.501

=====

Most stable structure - model w; separation to the second - 52.7 kJ/mol of atoms.

=====

Model w:
LiPm2Ir2 | Alexandria | GGA-PBE | relaxed; crystal system = monoclinic; total magnetic moment = 0.00 μB/f.u.; DOS(E_F) = 4.04 states/eV/cell
1.0
5.061 -2.748 0.000
5.061 2.748 0.000
-2.369 0.000 7.720
Li Pm Ir
2 4 4
Direct
0.131 0.869 0.750
0.869 0.131 0.250
0.198 0.510 0.352
0.490 0.802 0.148
0.510 0.198 0.852
0.802 0.490 0.648
0.014 0.715 0.988
0.285 0.986 0.512
0.715 0.014 0.488
0.986 0.285 0.012

=====

Model x:
LiPm2Ir2 | Alexandria | GGA-PBE | relaxed; crystal system = orthorhombic; total magnetic moment = 0.00 μB/f.u.; DOS(E_F) = 2.67 states/eV/cell
1.0
-2.147 2.967 4.178
2.147 -2.967 4.178
2.147 2.967 -4.178
Li Pm Ir
1 2 2
Direct
0.000 0.000 0.000
0.294 0.794 0.500
0.706 0.206 0.500
0.273 0.500 0.773
0.727 0.500 0.227

=====

Most stable structure - model x; separation to the second - 2.3 kJ/mol of atoms.

=====

Model w:
LiPmIr | Alexandria | GGA-PBE | relaxed; crystal system = cubic; total magnetic moment = 0.00 μB/f.u.; DOS(E_F) = 3.55 states/eV/cell
1.0
0.000 3.273 3.273
3.273 0.000 3.273
3.273 3.273 0.000
Li Pm Ir
1 1 1
Direct
0.000 0.000 0.000
0.500 0.500 0.500
0.750 0.750 0.750

=====

Model x:
LiPmIr | Alexandria | GGA-PBE | relaxed; crystal system = hexagonal; total magnetic moment = 0.00 μB/f.u.; DOS(E_F) = 1.43 states/eV/cell
1.0
4.380 0.000 0.000
-2.190 3.793 0.000
0.000 0.000 3.569
Li Pm Ir
1 1 1
Direct
0.000 0.000 0.000
0.667 0.333 0.500
0.333 0.667 0.000

=====

Model y:
LiPmIr | Alexandria | GGA-PBE | relaxed; crystal system = monoclinic; total magnetic moment = 0.00 μB/f.u.; DOS(E_F) = 2.05 states/eV/cell
1.0
3.348 -3.347 0.000
3.348 3.347 0.000
-3.335 0.000 6.924
Li Pm Ir
2 2 2
Direct
0.194 0.194 0.388
0.806 0.806 0.612
0.000 0.500 0.000
0.500 0.000 0.000
0.383 0.383 0.764
0.617 0.617 0.236

=====

Most stable structure - model x; separation to the second - 12.5 kJ/mol of atoms.

=====

Model w:
LiPmIr | Alexandria | GGA-PBE | relaxed; crystal system = trigonal; total magnetic moment = 0.00 μB/f.u.; DOS(E_F) = 1.77 states/eV/cell
1.0
2.272 1.312 7.024
-2.272 1.312 7.024
0.000 -2.623 7.024
Li Pm Ir
2 2 2
Direct
0.049 0.049 0.049
0.951 0.951 0.951
0.233 0.233 0.233
0.767 0.767 0.767
0.371 0.371 0.371
0.629 0.629 0.629

=====

Model x:
LiPmIr | Alexandria | GGA-PBE | relaxed; crystal system = monoclinic; total magnetic moment = 0.00 μB/f.u.; DOS(E_F) = 8.04 states/eV/cell
1.0
7.179 0.000 0.000
0.000 4.048 0.000
-0.021 0.000 12.440
Li Pm Ir
6 6 6
Direct
0.008 0.250 0.082
0.127 0.750 0.538
0.371 0.250 0.197
0.629 0.750 0.803
0.873 0.250 0.462
0.992 0.750 0.918
0.051 0.750 0.286
0.338 0.250 0.919
0.456 0.250 0.622
0.544 0.750 0.378
0.662 0.750 0.081
0.949 0.250 0.714
0.243 0.750 0.750
0.252 0.750 0.079
0.255 0.250 0.414
0.745 0.750 0.586
0.748 0.250 0.921
0.757 0.250 0.250

=====

Most stable structure - model x; separation to the second - 29.0 kJ/mol of atoms.

=====

Model w:
Li2PmIr | Alexandria | GGA-PBE | relaxed; crystal system = cubic; total magnetic moment = 0.00 μB/f.u.; DOS(E_F) = 1.53 states/eV/cell
1.0
0.000 3.237 3.237
3.237 0.000 3.237
3.237 3.237 0.000
Li Pm Ir
2 1 1
Direct
0.250 0.250 0.250
0.750 0.750 0.750
0.000 0.000 0.000
0.500 0.500 0.500

=====

Model x:
Li2PmIr | Alexandria | GGA-PBE | relaxed; crystal system = monoclinic; total magnetic moment = 0.00 μB/f.u.; DOS(E_F) = 3.22 states/eV/cell
1.0
5.157 0.000 0.000
0.000 5.744 0.000
-1.862 0.000 5.185
Li Pm Ir
4 2 2
Direct
0.075 0.037 0.278
0.075 0.463 0.278
0.925 0.537 0.722
0.925 0.963 0.722
0.457 0.250 0.795
0.543 0.750 0.205
0.385 0.750 0.661
0.615 0.250 0.339

=====

Most stable structure - model x; separation to the second - 13.6 kJ/mol of atoms.